1.
NaTiPb2 | PBE-GGA | optimized geometry

It has space group R3m (No. 160, hexagonal axes), with a = 4.5030 Å, b = 4.5030 Å, c = 19.3497 Å, α = 90.00°, β = 90.00° and γ = 120.00°. Symmetry generates all atoms from Na at (0.0000, 0.0000, 0.0000), Ti at (0.0000, 0.0000, 0.8231), Pb at (0.0000, 0.0000, 0.2258) and Pb at (0.0000, 0.0000, 0.4277).

The value obtained for the energy of formation from the pure elements is 74 kJ/mol of formula units. Its crystal system is trigonal. The total DFT energy (no corrections) is -3.966 eV per atom.

2.
PmTlRhPb | PBE-GGA | optimized geometry

It has space group F-43m (No. 216), with a = 7.2812 Å, b = 7.2812 Å, c = 7.2812 Å, α = 90.00°, β = 90.00° and γ = 90.00°. Symmetry generates all atoms from Pm at (0.0000, 0.0000, 0.0000), Tl at (0.2500, 0.2500, 0.7500), Rh at (0.2500, 0.2500, 0.2500) and Pb at (0.0000, 0.0000, 0.5000).

The value obtained for the energy of formation from the pure elements is -82 kJ/mol of formula units. Its crystal system is cubic. The total DFT energy (no corrections) is -4.758 eV per atom.